# 1
# CaPm2P

A geometry-optimized CaPm2P structure (PBE, Alexandria via LeMat-Bulk).

a b c (Å): 3.597 3.597 9.607
angles (deg): 90.00 90.00 90.00
Atoms (fractional coordinates):
Ca1 0.000 0.000 0.000
Pm1 0.500 0.500 0.333
Pm2 0.500 0.500 0.667
P1 0.000 0.000 0.500

Total moment, Bohr magnetons per cell: 0.00
DOS at the Fermi energy, states/eV/atom: 1.17
ΔE to the lowest computed polymorph, meV per atom: 183.9
E, eV/cell: -19.01

---

# 2
# CaPm2P

A geometry-optimized CaPm2P structure (PBE, Alexandria via LeMat-Bulk).

a b c (Å): 10.100 10.100 10.100
angles (deg): 22.81 22.81 22.81
Atoms (fractional coordinates):
Ca1 0.000 0.000 0.000
Pm1 0.221 0.221 0.221
Pm2 0.779 0.779 0.779
P1 0.500 0.500 0.500

Total moment, Bohr magnetons per cell: 0.00
DOS at the Fermi energy, states/eV/atom: 1.50
ΔE to the lowest computed polymorph, meV per atom: 0.0
E, eV/cell: -19.75

---

# 3
# Ca2PmP3Pt12

A geometry-optimized Ca2PmP3Pt12 structure (PBE, Alexandria via LeMat-Bulk).

a b c (Å): 7.592 7.592 7.592
angles (deg): 66.86 66.86 66.86
Atoms (fractional coordinates):
Ca1 0.093 0.093 0.093
Ca2 0.907 0.907 0.907
Pm1 0.500 0.500 0.500
P1 0.000 0.500 0.500
P2 0.500 0.000 0.500
P3 0.500 0.500 0.000
Pt1 0.094 0.648 0.648
Pt2 0.161 0.161 0.600
Pt3 0.161 0.600 0.161
Pt4 0.352 0.352 0.906
Pt5 0.352 0.906 0.352
Pt6 0.400 0.839 0.839
Pt7 0.600 0.161 0.161
Pt8 0.648 0.094 0.648
Pt9 0.648 0.648 0.094
Pt10 0.839 0.400 0.839
Pt11 0.839 0.839 0.400
Pt12 0.906 0.352 0.352

Total moment, Bohr magnetons per cell: 0.00
DOS at the Fermi energy, states/eV/atom: 0.33
E, eV/cell: -104.63

---

# 4
# CaPmP2Pt4

A geometry-optimized CaPmP2Pt4 structure (PBE, Alexandria via LeMat-Bulk).

a b c (Å): 4.469 4.469 8.262
angles (deg): 90.00 90.00 90.00
Atoms (fractional coordinates):
Ca1 0.000 0.000 0.000
Pm1 0.000 0.000 0.500
P1 0.500 0.500 0.165
P2 0.500 0.500 0.835
Pt1 0.000 0.500 0.255
Pt2 0.000 0.500 0.745
Pt3 0.500 0.000 0.255
Pt4 0.500 0.000 0.745

Total moment, Bohr magnetons per cell: 0.00
DOS at the Fermi energy, states/eV/atom: 0.25
E, eV/cell: -48.14

---

# 5
# CaPmP2Pt2

A geometry-optimized CaPmP2Pt2 structure (PBE, Alexandria via LeMat-Bulk).

a b c (Å): 4.129 4.129 8.204
angles (deg): 90.00 90.00 120.00
Atoms (fractional coordinates):
Ca1 0.000 0.000 0.000
Pm1 0.000 0.000 0.500
P1 0.333 0.667 0.259
P2 0.667 0.333 0.741
Pt1 0.333 0.667 0.751
Pt2 0.667 0.333 0.249

Total moment, Bohr magnetons per cell: 0.00
DOS at the Fermi energy, states/eV/atom: 0.34
E, eV/cell: -37.13

---

# 6
# CaPm2PuP4

A geometry-optimized CaPm2PuP4 structure (PBE, Alexandria via LeMat-Bulk).

a b c (Å): 7.063 4.106 7.063
angles (deg): 90.00 109.23 90.00
Atoms (fractional coordinates):
Ca1 0.000 0.000 0.000
Pm1 0.000 0.500 0.500
Pm2 0.500 0.000 0.500
Pu1 0.500 0.500 0.000
P1 0.260 0.500 0.245
P2 0.262 0.000 0.760
P3 0.738 0.000 0.240
P4 0.740 0.500 0.755

Total moment, Bohr magnetons per cell: 4.05
DOS at the Fermi energy, states/eV/atom: 1.54
E, eV/cell: -57.75